(1)
## Li4ScIn3Si8O24 (meta-GGA SCAN)

Data for a PBEsol-optimized structure of Li4ScIn3Si8O24.

Cell lengths 5.393, 9.085, 9.393 Å; angles 90.00, 102.20, 90.00 degrees
Element x y z (fractional)
Li (0.000, 0.000, 0.000)
Li (0.000, 0.014, 0.500)
Li (0.500, 0.494, 0.500)
Li (0.500, 0.511, 0.000)
Sc (0.500, 0.146, 0.500)
In (0.000, 0.361, 0.500)
In (0.000, 0.648, 0.000)
In (0.500, 0.863, 0.000)
Si (0.227, 0.341, 0.199)
Si (0.228, 0.670, 0.697)
Si (0.272, 0.842, 0.303)
Si (0.274, 0.171, 0.802)
Si (0.726, 0.171, 0.198)
Si (0.728, 0.842, 0.697)
Si (0.772, 0.670, 0.303)
Si (0.773, 0.341, 0.801)
O (0.058, 0.739, 0.356)
O (0.063, 0.277, 0.854)
O (0.207, 0.841, 0.123)
O (0.216, 0.171, 0.622)
O (0.246, 0.510, 0.627)
O (0.248, 0.501, 0.129)
O (0.251, 0.011, 0.872)
O (0.267, 0.002, 0.376)
O (0.292, 0.672, 0.878)
O (0.294, 0.335, 0.379)
O (0.437, 0.236, 0.143)
O (0.441, 0.774, 0.645)
O (0.559, 0.774, 0.355)
O (0.563, 0.236, 0.857)
O (0.706, 0.335, 0.621)
O (0.708, 0.672, 0.122)
O (0.733, 0.002, 0.624)
O (0.749, 0.011, 0.128)
O (0.752, 0.501, 0.871)
O (0.754, 0.510, 0.373)
O (0.784, 0.171, 0.378)
O (0.793, 0.841, 0.877)
O (0.937, 0.277, 0.146)
O (0.942, 0.739, 0.644)

Calculated values
Space group: P2
ΔE_f (raw) (meV/atom): -2798



(2)
## Li4Sc3InSi8O24 (meta-GGA SCAN)

Data for a PBEsol-optimized structure of Li4Sc3InSi8O24.

Cell lengths 5.374, 6.654, 13.021 Å; angles 88.76, 81.25, 75.23 degrees
Element x y z (fractional)
Li (0.000, 0.000, 0.000)
Li (0.242, 0.516, 0.257)
Li (0.497, 0.008, 0.503)
Li (0.743, 0.515, 0.758)
Sc (0.067, 0.868, 0.434)
Sc (0.174, 0.652, 0.826)
Sc (0.568, 0.865, 0.932)
In (0.673, 0.655, 0.327)
Si (0.043, 0.372, 0.486)
Si (0.201, 0.145, 0.773)
Si (0.286, 0.973, 0.185)
Si (0.455, 0.546, 0.574)
Si (0.541, 0.371, 0.985)
Si (0.701, 0.146, 0.271)
Si (0.788, 0.972, 0.686)
Si (0.955, 0.544, 0.072)
O (0.003, 0.104, 0.696)
O (0.017, 0.555, 0.399)
O (0.083, 0.380, 0.818)
O (0.161, 0.138, 0.442)
O (0.233, 0.962, 0.861)
O (0.240, 0.414, 0.564)
O (0.248, 0.387, 0.048)
O (0.306, 0.798, 0.277)
O (0.327, 0.884, 0.067)
O (0.413, 0.635, 0.691)
O (0.424, 0.726, 0.484)
O (0.492, 0.125, 0.707)
O (0.511, 0.555, 0.898)
O (0.512, 0.095, 0.193)
O (0.566, 0.377, 0.317)
O (0.664, 0.136, 0.941)
O (0.732, 0.967, 0.362)
O (0.733, 0.417, 0.064)
O (0.750, 0.393, 0.551)
O (0.816, 0.795, 0.777)
O (0.831, 0.882, 0.569)
O (0.926, 0.720, 0.980)
O (0.927, 0.636, 0.187)
O (0.994, 0.132, 0.208)

Calculated values
Space group: P1
ΔE_f (raw) (meV/atom): -3068



(3)
## LiIn2Os2 (meta-GGA SCAN)

Data for a PBEsol-optimized structure of LiIn2Os2.

Cell lengths 4.912, 4.912, 8.729 Å; angles 90.00, 90.00, 90.00 degrees
Element x y z (fractional)
Li (0.000, 0.000, 0.000)
Li (0.500, 0.500, 0.500)
In (0.000, 0.500, 0.250)
In (0.000, 0.500, 0.750)
In (0.500, 0.000, 0.250)
In (0.500, 0.000, 0.750)
Os (0.000, 0.000, 0.371)
Os (0.000, 0.000, 0.629)
Os (0.500, 0.500, 0.129)
Os (0.500, 0.500, 0.871)

Calculated values
Space group: I4/mmm
DFT formation energy (eV per atom): 0.5239



(4)
## Li2InP (meta-GGA SCAN)

Data for a PBEsol-optimized structure of Li2InP.

Cell lengths 4.021, 4.021, 3.991 Å; angles 90.00, 90.00, 90.00 degrees
Element x y z (fractional)
Li (0.000, 0.500, 0.000)
Li (0.500, 0.000, 0.000)
In (0.000, 0.000, 0.500)
P (0.500, 0.500, 0.500)

Calculated values
Space group: P4/mmm
ΔE to the lowest computed polymorph (eV/atom): 0.000
DFT formation energy (eV per atom): -0.4031



(5)
## Li2InP (meta-GGA SCAN)

Data for a PBEsol-optimized structure of Li2InP.

Cell lengths 3.993, 4.279, 7.912 Å; angles 90.00, 90.00, 90.00 degrees
Element x y z (fractional)
Li (0.000, 0.000, 0.197)
Li (0.000, 0.000, 0.803)
Li (0.500, 0.500, 0.197)
Li (0.500, 0.500, 0.803)
In (0.000, 0.500, 0.500)
In (0.500, 0.000, 0.500)
P (0.000, 0.500, 0.000)
P (0.500, 0.000, 0.000)

Calculated values
Space group: Cmmm
ΔE to the lowest computed polymorph (eV/atom): 0.060
DFT formation energy (eV per atom): -0.3430



(6)
## Li2InP (meta-GGA SCAN)

Data for a PBEsol-optimized structure of Li2InP.

Cell lengths 3.028, 3.028, 26.255 Å; angles 90.00, 90.00, 120.00 degrees
Element x y z (fractional)
Li (0.000, 0.000, 0.237)
Li (0.000, 0.000, 0.763)
Li (0.333, 0.667, 0.430)
Li (0.333, 0.667, 0.903)
Li (0.667, 0.333, 0.097)
Li (0.667, 0.333, 0.570)
In (0.000, 0.000, 0.000)
In (0.333, 0.667, 0.667)
In (0.667, 0.333, 0.333)
P (0.000, 0.000, 0.500)
P (0.333, 0.667, 0.167)
P (0.667, 0.333, 0.833)

Calculated values
Space group: R-3m
ΔE to the lowest computed polymorph (eV/atom): 0.169
DFT formation energy (eV per atom): -0.2339



(7)
## LiInP (meta-GGA SCAN)

Data for a PBEsol-optimized structure of LiInP.

Cell lengths 5.990, 5.990, 5.990 Å; angles 90.00, 90.00, 90.00 degrees
Element x y z (fractional)
Li (0.000, 0.000, 0.000)
Li (0.000, 0.500, 0.500)
Li (0.500, 0.000, 0.500)
Li (0.500, 0.500, 0.000)
In (0.250, 0.250, 0.750)
In (0.250, 0.750, 0.250)
In (0.750, 0.250, 0.250)
In (0.750, 0.750, 0.750)
P (0.250, 0.250, 0.250)
P (0.250, 0.750, 0.750)
P (0.750, 0.250, 0.750)
P (0.750, 0.750, 0.250)

Calculated values
Space group: F-43m
ΔE to the lowest computed polymorph (eV/atom): 0.362
DFT formation energy (eV per atom): -0.1562



(8)
## Li3InP (meta-GGA SCAN)

Data for a PBEsol-optimized structure of Li3InP.

Cell lengths 4.652, 4.652, 4.652 Å; angles 90.00, 90.00, 90.00 degrees
Element x y z (fractional)
Li (0.000, 0.000, 0.500)
Li (0.000, 0.500, 0.000)
Li (0.500, 0.000, 0.000)
In (0.500, 0.500, 0.500)
P (0.000, 0.000, 0.000)

Calculated values
Space group: Pm-3m
DFT formation energy (eV per atom): -0.3264



(9)
## LiInP (meta-GGA SCAN)

Data for a PBEsol-optimized structure of LiInP.

Cell lengths 4.048, 4.048, 8.712 Å; angles 90.00, 90.00, 120.00 degrees
Element x y z (fractional)
Li (0.333, 0.667, 0.092)
Li (0.667, 0.333, 0.908)
In (0.000, 0.000, 0.341)
In (0.000, 0.000, 0.659)
P (0.333, 0.667, 0.796)
P (0.667, 0.333, 0.204)

Calculated values
Space group: P-3m1
ΔE to the lowest computed polymorph (eV/atom): 0.000
DFT formation energy (eV per atom): -0.5182



(10)
## LiInP (meta-GGA SCAN)

Data for a PBEsol-optimized structure of LiInP.

Cell lengths 4.485, 4.513, 11.600 Å; angles 90.00, 90.00, 90.00 degrees
Element x y z (fractional)
Li (0.000, 0.000, 0.000)
Li (0.000, 0.500, 0.500)
Li (0.500, 0.000, 0.500)
Li (0.500, 0.500, 0.000)
In (0.000, 0.000, 0.279)
In (0.000, 0.500, 0.779)
In (0.500, 0.000, 0.779)
In (0.500, 0.500, 0.279)
P (0.000, 0.000, 0.625)
P (0.000, 0.500, 0.125)
P (0.500, 0.000, 0.125)
P (0.500, 0.500, 0.625)

Calculated values
Space group: Fmm2
ΔE to the lowest computed polymorph (eV/atom): 0.439
DFT formation energy (eV per atom): -0.0788



(11)
## Li4InP (meta-GGA SCAN)

Data for a PBEsol-optimized structure of Li4InP.

Cell lengths 5.172, 5.172, 5.172 Å; angles 60.00, 60.00, 60.00 degrees
Element x y z (fractional)
Li (0.125, 0.125, 0.125)
Li (0.125, 0.125, 0.624)
Li (0.125, 0.624, 0.125)
Li (0.624, 0.125, 0.125)
In (0.750, 0.750, 0.750)
P (0.500, 0.500, 0.500)

Calculated values
Space group: F-43m
DFT formation energy (eV per atom): -0.0288



(12)
## Li2InP (meta-GGA SCAN)

Data for a PBEsol-optimized structure of Li2InP.

Cell lengths 3.052, 4.123, 12.064 Å; angles 90.00, 90.00, 90.00 degrees
Element x y z (fractional)
Li (0.000, 0.000, 0.000)
Li (0.000, 0.500, 0.173)
Li (0.500, 0.000, 0.673)
Li (0.500, 0.500, 0.500)
In (0.000, 0.000, 0.357)
In (0.500, 0.500, 0.857)
P (0.000, 0.500, 0.670)
P (0.500, 0.000, 0.170)

Calculated values
Space group: Imm2
ΔE to the lowest computed polymorph (eV/atom): 0.058
DFT formation energy (eV per atom): -0.3452



(13)
## Li2InP (meta-GGA SCAN)

Data for a PBEsol-optimized structure of Li2InP.

Cell lengths 5.792, 8.056, 2.805 Å; angles 90.00, 90.00, 90.00 degrees
Element x y z (fractional)
Li (0.250, 0.250, 0.000)
Li (0.250, 0.750, 0.000)
Li (0.750, 0.250, 0.000)
Li (0.750, 0.750, 0.000)
In (0.000, 0.000, 0.500)
In (0.500, 0.500, 0.500)
P (0.000, 0.500, 0.500)
P (0.500, 0.000, 0.500)

Calculated values
Space group: Cmmm
ΔE to the lowest computed polymorph (eV/atom): 0.094
DFT formation energy (eV per atom): -0.3091



(14)
## Li2InP (meta-GGA SCAN)

Data for a PBEsol-optimized structure of Li2InP.

Cell lengths 2.866, 3.832, 5.886 Å; angles 90.00, 90.00, 90.00 degrees
Element x y z (fractional)
Li (0.000, 0.000, 0.206)
Li (0.000, 0.000, 0.794)
In (0.500, 0.500, 0.500)
P (0.500, 0.500, 0.000)

Calculated values
Space group: Pmmm
ΔE to the lowest computed polymorph (eV/atom): 0.011
DFT formation energy (eV per atom): -0.3920



(15)
## LiInReP2 (meta-GGA SCAN)

Data for a PBEsol-optimized structure of LiInReP2.

Cell lengths 4.859, 4.859, 4.331 Å; angles 90.00, 90.00, 90.00 degrees
Element x y z (fractional)
Li (0.000, 0.000, 0.000)
In (0.000, 0.000, 0.500)
Re (0.500, 0.500, 0.000)
P (0.000, 0.500, 0.500)
P (0.500, 0.000, 0.500)

Calculated values
Space group: P4/mmm
DFT formation energy (eV per atom): 1.7634



(16)
## LiInPb2 (meta-GGA SCAN)

Data for a PBEsol-optimized structure of LiInPb2.

Cell lengths 3.528, 3.528, 28.764 Å; angles 90.00, 90.00, 120.00 degrees
Element x y z (fractional)
Li (0.000, 0.000, 0.000)
Li (0.333, 0.667, 0.667)
Li (0.667, 0.333, 0.333)
In (0.000, 0.000, 0.500)
In (0.333, 0.667, 0.167)
In (0.667, 0.333, 0.833)
Pb (0.000, 0.000, 0.253)
Pb (0.000, 0.000, 0.747)
Pb (0.333, 0.667, 0.414)
Pb (0.333, 0.667, 0.920)
Pb (0.667, 0.333, 0.080)
Pb (0.667, 0.333, 0.586)

Calculated values
Space group: R-3m
DFT formation energy (eV per atom): -0.1166



(17)
## LiInPb2 (meta-GGA SCAN)

Data for a PBEsol-optimized structure of LiInPb2.

Cell lengths 3.420, 3.420, 8.490 Å; angles 90.00, 90.00, 90.00 degrees
Element x y z (fractional)
Li (0.000, 0.000, 0.000)
In (0.500, 0.500, 0.795)
Pb (0.000, 0.000, 0.524)
Pb (0.500, 0.500, 0.222)

Calculated values
Space group: P4mm
DFT formation energy (eV per atom): -0.1449



(18)
## Li2InPb2 (meta-GGA SCAN)

Data for a PBEsol-optimized structure of Li2InPb2.

Cell lengths 8.475, 8.475, 3.253 Å; angles 90.00, 90.00, 90.00 degrees
Element x y z (fractional)
Li (0.173, 0.327, 0.000)
Li (0.327, 0.827, 0.000)
Li (0.673, 0.173, 0.000)
Li (0.827, 0.673, 0.000)
In (0.000, 0.000, 0.500)
In (0.500, 0.500, 0.500)
Pb (0.129, 0.629, 0.500)
Pb (0.371, 0.129, 0.500)
Pb (0.629, 0.871, 0.500)
Pb (0.871, 0.371, 0.500)

Calculated values
Space group: P4/mbm
DFT formation energy (eV per atom): -0.2550



(19)
## LiInPb2 (meta-GGA SCAN)

Data for a PBEsol-optimized structure of LiInPb2.

Cell lengths 7.533, 7.533, 7.533 Å; angles 90.00, 90.00, 90.00 degrees
Element x y z (fractional)
Li (0.000, 0.000, 0.000)
Li (0.000, 0.500, 0.500)
Li (0.500, 0.000, 0.500)
Li (0.500, 0.500, 0.000)
In (0.250, 0.250, 0.250)
In (0.250, 0.750, 0.750)
In (0.750, 0.250, 0.750)
In (0.750, 0.750, 0.250)
Pb (0.000, 0.000, 0.500)
Pb (0.000, 0.500, 0.000)
Pb (0.250, 0.250, 0.750)
Pb (0.250, 0.750, 0.250)
Pb (0.500, 0.000, 0.000)
Pb (0.500, 0.500, 0.500)
Pb (0.750, 0.250, 0.250)
Pb (0.750, 0.750, 0.750)

Calculated values
Space group: F-43m
DFT formation energy (eV per atom): -0.1125



(20)
## LiIn2Pb (meta-GGA SCAN)

Data for a PBEsol-optimized structure of LiIn2Pb.

Cell lengths 7.357, 7.357, 7.357 Å; angles 90.00, 90.00, 90.00 degrees
Element x y z (fractional)
Li (0.000, 0.000, 0.000)
Li (0.000, 0.500, 0.500)
Li (0.500, 0.000, 0.500)
Li (0.500, 0.500, 0.000)
In (0.000, 0.000, 0.500)
In (0.000, 0.500, 0.000)
In (0.250, 0.250, 0.750)
In (0.250, 0.750, 0.250)
In (0.500, 0.000, 0.000)
In (0.500, 0.500, 0.500)
In (0.750, 0.250, 0.250)
In (0.750, 0.750, 0.750)
Pb (0.250, 0.250, 0.250)
Pb (0.250, 0.750, 0.750)
Pb (0.750, 0.250, 0.750)
Pb (0.750, 0.750, 0.250)

Calculated values
Space group: F-43m
DFT formation energy (eV per atom): -0.1044



(21)
## LiIn2Pb2 (meta-GGA SCAN)

Data for a PBEsol-optimized structure of LiIn2Pb2.

Cell lengths 4.234, 4.234, 15.946 Å; angles 90.00, 90.00, 90.00 degrees
Element x y z (fractional)
Li (0.000, 0.000, 0.000)
Li (0.500, 0.500, 0.500)
In (0.000, 0.500, 0.250)
In (0.000, 0.500, 0.750)
In (0.500, 0.000, 0.250)
In (0.500, 0.000, 0.750)
Pb (0.000, 0.000, 0.399)
Pb (0.000, 0.000, 0.601)
Pb (0.500, 0.500, 0.101)
Pb (0.500, 0.500, 0.899)

Calculated values
Space group: I4/mmm
DFT formation energy (eV per atom): -0.0100



(22)
## LiInPb2 (meta-GGA SCAN)

Data for a PBEsol-optimized structure of LiInPb2.

Cell lengths 4.644, 4.644, 9.536 Å; angles 90.00, 90.00, 90.00 degrees
Element x y z (fractional)
Li (0.000, 0.000, 0.000)
Li (0.500, 0.500, 0.500)
In (0.000, 0.500, 0.750)
In (0.500, 0.000, 0.250)
Pb (0.000, 0.000, 0.500)
Pb (0.000, 0.500, 0.250)
Pb (0.500, 0.000, 0.750)
Pb (0.500, 0.500, 0.000)

Calculated values
Space group: I-4m2
DFT formation energy (eV per atom): -0.1572



(23)
## LiIn2Pb (meta-GGA SCAN)

Data for a PBEsol-optimized structure of LiIn2Pb.

Cell lengths 4.431, 4.431, 9.810 Å; angles 90.00, 90.00, 90.00 degrees
Element x y z (fractional)
Li (0.000, 0.000, 0.000)
Li (0.500, 0.500, 0.500)
In (0.000, 0.500, 0.250)
In (0.000, 0.500, 0.750)
In (0.500, 0.000, 0.250)
In (0.500, 0.000, 0.750)
Pb (0.000, 0.000, 0.500)
Pb (0.500, 0.500, 0.000)

Calculated values
Space group: I4/mmm
DFT formation energy (eV per atom): -0.1634



(24)
## LiIn2Pb (meta-GGA SCAN)

Data for a PBEsol-optimized structure of LiIn2Pb.

Cell lengths 4.594, 4.594, 9.215 Å; angles 90.00, 90.00, 90.00 degrees
Element x y z (fractional)
Li (0.000, 0.000, 0.000)
Li (0.500, 0.500, 0.500)
In (0.000, 0.000, 0.500)
In (0.000, 0.500, 0.750)
In (0.500, 0.000, 0.250)
In (0.500, 0.500, 0.000)
Pb (0.000, 0.500, 0.250)
Pb (0.500, 0.000, 0.750)

Calculated values
Space group: I-4m2
DFT formation energy (eV per atom): -0.1586



(25)
## LiInPb2 (meta-GGA SCAN)

Data for a PBEsol-optimized structure of LiInPb2.

Cell lengths 4.741, 4.741, 9.135 Å; angles 90.00, 90.00, 90.00 degrees
Element x y z (fractional)
Li (0.000, 0.000, 0.000)
Li (0.500, 0.500, 0.500)
In (0.000, 0.000, 0.500)
In (0.500, 0.500, 0.000)
Pb (0.000, 0.500, 0.250)
Pb (0.000, 0.500, 0.750)
Pb (0.500, 0.000, 0.250)
Pb (0.500, 0.000, 0.750)

Calculated values
Space group: I4/mmm
DFT formation energy (eV per atom): -0.1618



(26)
## LiIn2Pb (meta-GGA SCAN)

Data for a PBEsol-optimized structure of LiIn2Pb.

Cell lengths 3.551, 4.987, 5.532 Å; angles 90.00, 90.00, 90.00 degrees
Element x y z (fractional)
Li (0.000, 0.000, 0.000)
In (0.000, 0.500, 0.652)
In (0.500, 0.000, 0.519)
Pb (0.500, 0.500, 0.141)

Calculated values
Space group: Pmm2
DFT formation energy (eV per atom): -0.1345